VASP calculation (PBE-GGA) on a relaxed structure of KCuI2N.

Cell and atoms, written as CIF:
```
data_KCuI2N
_space_group_name_H-M_alt 'P 4/m m m'
_space_group_IT_number 123
_space_group_name_Hall '-P 4 2'
_cell_length_a 6.337
_cell_length_b 6.337
_cell_length_c 4.676
_cell_angle_alpha 90.00
_cell_angle_beta 90.00
_cell_angle_gamma 90.00
loop_
_atom_site_label
_atom_site_type_symbol
_atom_site_fract_x
_atom_site_fract_y
_atom_site_fract_z
K1 K 0.000 0.000 0.000
Cu1 Cu 0.500 0.500 0.500
I1 I 0.000 0.500 0.000
N1 N 0.000 0.000 0.500
```

## Properties
- ΔE_f (raw) (meV/atom) = 1490
- total magnetic moment (μB per cell) = 0.00
- offset from the most stable computed form (eV/f.u.) = 6.90
- final energy (eV per cell) = -9.2